A plane-wave DFT calculation with PBE was carried out for CsCoBi2Cl8 after structural relaxation.

Geometry as POSCAR:
```
CsCoBi2Cl8
1.0
6.744 0.000 0.000
3.372 6.566 -0.307
3.372 2.168 8.457
Cl Co Bi Cs
8 1 2 1
Cartesian
6.744 2.492 0.554
8.393 2.433 6.821
10.116 5.803 5.140
3.372 2.931 3.009
6.744 6.243 7.596
8.393 6.301 1.328
5.095 6.301 1.328
5.095 2.433 6.821
0.000 0.000 0.000
10.116 6.985 7.371
3.372 1.749 0.779
6.744 4.367 4.075
```

Symmetry: No. 12
Magnetization: 2.20 μB/f.u.
E_form (uncorrected): -92.10 kJ/mol of atoms
D(E_F): 0.652 states/eV/atom